# 1
# Ba2TaNi

Crystalline Ba2TaNi at its relaxed geometry (PBE, Alexandria via LeMat-Bulk).

It has space group P4/mmm (No. 123), with a = 3.461 Å, b = 3.461 Å, c = 9.418 Å, α = 90.00°, β = 90.00° and γ = 90.00°. The distinct sites, in fractional coordinates, are Ba at (0.000, 0.000, 0.215), Ta at (0.500, 0.500, 0.500) and Ni at (0.500, 0.500, 0.000).

Its density of states at the Fermi level is 1.776 states/eV per atom. As for the relative energy among the computed polymorphs: 543 meV/atom. For the density, the calculation gives 7.6 Mg/m³. The crystal system is tetragonal. The calculation puts the volume at 112.8 Å³ per cell. The value obtained for the energy of formation is 3.89 eV per formula unit.

=====

# 2
# CrMo2Pb

Crystalline CrMo2Pb at its relaxed geometry (PBE, Alexandria via LeMat-Bulk).

It has space group P4mm (No. 99), with a = 3.246 Å, b = 3.246 Å, c = 6.713 Å, α = 90.00°, β = 90.00° and γ = 90.00°. The distinct sites, in fractional coordinates, are Cr at (0.000, 0.000, 0.000), Mo at (0.000, 0.000, 0.422), Mo at (0.500, 0.500, 0.205) and Pb at (0.500, 0.500, 0.716).

Its density of states at the Fermi level is 0.852 states/eV per atom. For the density, the calculation gives 10.6 Mg/m³. The crystal system is tetragonal. The calculation puts the volume at 70.7 Å³ per cell. The value obtained for the energy of formation is 1.98 eV per formula unit.

=====

# 3
# CaZr2TeBr

Crystalline CaZr2TeBr at its relaxed geometry (PBE, Alexandria via LeMat-Bulk).

It has space group P4/mmm (No. 123), with a = 5.443 Å, b = 5.443 Å, c = 5.405 Å, α = 90.00°, β = 90.00° and γ = 90.00°. The distinct sites, in fractional coordinates, are Ca at (0.000, 0.000, 0.000), Zr at (0.000, 0.500, 0.000), Te at (0.000, 0.000, 0.500) and Br at (0.500, 0.500, 0.500).

Its density of states at the Fermi level is 1.282 states/eV per atom. For the density, the calculation gives 4.5 Mg/m³. The crystal system is tetragonal. The calculation puts the volume at 160.2 Å³ per cell. The formation energy from raw total energies comes out at 5.322 eV/f.u.